(1)
Li2MoW: single point on PBEsol structure, meta-GGA SCAN.

Cell lengths 2.504, 4.270, 5.824 Å; angles 90.00, 90.00, 90.00 degrees
Fractional positions:
1 Li 0.000 0.000 0.000
2 Li 0.500 0.500 0.224
3 Mo 0.000 0.000 0.510
4 W 0.500 0.500 0.718

Output
The value obtained for the formation energy from the elements is 45 kJ/mol of atoms. The calculation puts the energy above the most stable polymorph in this dataset at 0 meV per atom.

***

(2)
HoTmMg2: single point on PBEsol structure, meta-GGA SCAN.

Cell lengths 5.253, 5.253, 5.253 Å; angles 60.00, 60.00, 60.00 degrees
Fractional positions:
1 Ho 0.000 0.000 0.000
2 Tm 0.500 0.500 0.500
3 Mg 0.250 0.250 0.250
4 Mg 0.750 0.750 0.750

Output
The value obtained for the formation energy from the elements is -5 kJ/mol of atoms.

***

(3)
KRuPb2: single point on PBEsol structure, meta-GGA SCAN.

Cell lengths 7.142, 7.142, 7.142 Å; angles 36.50, 36.50, 36.50 degrees
Fractional positions:
1 K 0.000 0.000 0.000
2 Ru 0.174 0.174 0.174
3 Pb 0.554 0.554 0.554
4 Pb 0.790 0.790 0.790

Output
The value obtained for the formation energy from the elements is 17 kJ/mol of atoms.

***

(4)
MnCrOs2: single point on PBEsol structure, meta-GGA SCAN.

Cell lengths 2.604, 2.604, 8.391 Å; angles 90.00, 90.00, 114.77 degrees
Fractional positions:
1 Mn 0.000 0.000 0.000
2 Cr 0.500 0.500 0.778
3 Os 0.000 0.000 0.531
4 Os 0.500 0.500 0.249

Output
The value obtained for the formation energy from the elements is 32 kJ/mol of atoms.

***

(5)
Tc2PRhO: single point on PBEsol structure, meta-GGA SCAN.

Cell lengths 4.683, 4.683, 3.554 Å; angles 90.00, 90.00, 90.00 degrees
Fractional positions:
1 Tc 0.000 0.500 0.000
2 Tc 0.500 0.000 0.000
3 P 0.000 0.000 0.500
4 Rh 0.500 0.500 0.000
5 O 0.500 0.500 0.500

Output
The calculation puts the total energy at -22.98 eV per atom.

***

(6)
CrNiSe2: single point on PBEsol structure, meta-GGA SCAN.

Cell lengths 3.014, 3.014, 5.967 Å; angles 90.00, 90.00, 90.00 degrees
Fractional positions:
1 Cr 0.000 0.000 0.000
2 Ni 0.000 0.000 0.500
3 Se 0.500 0.500 0.241
4 Se 0.500 0.500 0.759

Output
The calculation puts the total energy at -18.46 eV per atom.

***

(7)
Na2LaBiP: single point on PBEsol structure, meta-GGA SCAN.

Cell lengths 6.902, 6.902, 5.890 Å; angles 90.00, 90.00, 90.00 degrees
Fractional positions:
1 Na 0.000 0.500 0.000
2 Na 0.500 0.000 0.000
3 La 0.000 0.000 0.000
4 Bi 0.000 0.000 0.500
5 P 0.500 0.500 0.500

Output
The value obtained for the formation energy from the elements is 99 kJ/mol of atoms.

***

(8)
BeReRu: single point on PBEsol structure, meta-GGA SCAN.

Cell lengths 6.330, 6.107, 2.630 Å; angles 82.58, 73.08, 24.33 degrees
Fractional positions:
1 Be 0.000 0.000 0.000
2 Re 0.337 0.337 0.663
3 Ru 0.653 0.653 0.347

Output
The value obtained for the formation energy from the elements is 16 kJ/mol of atoms. The calculation puts the energy above the most stable polymorph in this dataset at 459 meV per atom.

***

(9)
KSr2Ag: single point on PBEsol structure, meta-GGA SCAN.

Cell lengths 7.012, 7.012, 7.012 Å; angles 137.18, 137.18, 62.16 degrees
Fractional positions:
1 K 0.000 0.000 0.000
2 Sr 0.500 0.500 0.000
3 Sr 0.750 0.250 0.500
4 Ag 0.250 0.750 0.500

Output
The value obtained for the formation energy from the elements is 19 kJ/mol of atoms. The calculation puts the energy above the most stable polymorph in this dataset at 292 meV per atom.

***

(10)
NaFeC2: single point on PBEsol structure, meta-GGA SCAN.

Cell lengths 6.069, 6.069, 6.069 Å; angles 134.45, 134.45, 66.38 degrees
Fractional positions:
1 Na 0.375 0.625 0.750
2 Na 0.625 0.375 0.250
3 Fe 0.125 0.875 0.250
4 Fe 0.875 0.125 0.750
5 C 0.000 0.000 0.000
6 C 0.000 0.000 0.500
7 C 0.000 0.500 0.000
8 C 0.500 0.000 0.500

Output
The value obtained for the formation energy from the elements is 68 kJ/mol of atoms. The calculation puts the energy above the most stable polymorph in this dataset at 0 meV per atom.

***

(11)
Mn2TlRh: single point on PBEsol structure, meta-GGA SCAN.

Cell lengths 3.999, 3.999, 3.868 Å; angles 90.00, 90.00, 90.00 degrees
Fractional positions:
1 Mn 0.000 0.500 0.000
2 Mn 0.500 0.000 0.000
3 Tl 0.000 0.000 0.500
4 Rh 0.500 0.500 0.500

Output
The value obtained for the formation energy from the elements is -14 kJ/mol of atoms. The calculation puts the energy above the most stable polymorph in this dataset at 0 meV per atom.

***

(12)
Pb2Au: single point on PBEsol structure, meta-GGA SCAN.

Cell lengths 13.916, 13.916, 13.916 Å; angles 166.09, 166.09, 19.72 degrees
Fractional positions:
1 Pb 0.306 0.556 0.750
2 Pb 0.444 0.694 0.750
3 Pb 0.556 0.306 0.250
4 Pb 0.694 0.444 0.250
5 Au 0.125 0.875 0.250
6 Au 0.875 0.125 0.750

Output
The value obtained for the formation energy from the elements is 0 kJ/mol of atoms.

***

Computed calculated volume, in the same sequence as the records: 15.57, 25.62, 28.86, 12.92, 15.59, 13.55, 56.12, 12.54, 39.34, 14.02, 15.46, 25.94 Å³ per atom.
Computed total magnetic moment, in the same sequence as the records: 0.0, 0.0, 0.0, 1.2, 5.3, 0.0, 3.2, 0.0, 0.0, 0.0, 8.3, 0.0 μB per cell.